Entry 1:
First-principles (PBE-GGA) data for crystalline Rb2TiAsW at its relaxed geometry, as listed in the Alexandria database.

Properties
Energy of formation from the pure elements: 1.47 eV/atom
Electronic total energy: -20.082 eV per cell
Total magnetization: 4.93 Bohr magnetons per cell

a = 6.625 Å, b = 4.882 Å, c = 6.625 Å
α = 90.00°, β = 90.00°, γ = 90.00°
Fractional positions:
Ti: 0.000 0.500 0.000
Rb: 0.500 0.000 0.000
W: 0.500 0.500 0.500
As: 0.000 0.000 0.000
Rb: 0.000 0.000 0.500

***

Entry 2:
First-principles (PBE-GGA) data for crystalline AcLa2Mg2Ge2 at its relaxed geometry, as listed in the Alexandria database.

Properties
Energy of formation from the pure elements: -0.38 eV/atom
Electronic total energy: -29.074 eV per cell
Total magnetization: 0.00 Bohr magnetons per cell

a = 4.726 Å, b = 4.726 Å, c = 10.208 Å
α = 76.62°, β = 76.62°, γ = 60.00°
Fractional positions:
La: 0.864 0.864 0.409
Ac: 0.000 0.000 0.000
La: 0.136 0.136 0.591
Ge: 0.258 0.258 0.225
Mg: 0.410 0.410 0.771
Ge: 0.742 0.742 0.775
Mg: 0.590 0.590 0.229